First-principles (GGA-PBE) data for a relaxed structure of NaYAsAu2, as listed in the Alexandria database.

a = 5.344 Å, b = 6.668 Å, c = 5.344 Å
α = 90.00°, β = 90.00°, γ = 90.00°
Last column: magnetic moment on the atom in μB.
Sites, in units of the cell vectors:
Y  0.000  0.000  0.000  -0.18
Na  0.000  0.500  0.000  -0.03
As  0.500  0.500  0.500  0.74
Au  0.000  0.000  0.500  0.02
Au  0.500  0.000  0.000  0.04

Calculated values
Calculated volume ... 38.1 Å³/atom
Electronic total energy ... -3.04 eV per atom
Energy of formation from the pure elements ... 754 meV/atom
Symmetry ... P4/mmm (123)



First-principles (GGA-PBE) data for a relaxed structure of SmDyMnZn, as listed in the Alexandria database.

a = 5.070 Å, b = 5.070 Å, c = 5.070 Å
α = 60.00°, β = 60.00°, γ = 60.00°
Last column: magnetic moment on the atom in μB.
Sites, in units of the cell vectors:
Zn  0.000  0.000  0.000  -0.02
Mn  0.500  0.500  0.500  3.46
Sm  0.250  0.250  0.250  -0.19
Dy  0.750  0.750  0.750  -0.24

Calculated values
Calculated volume ... 23.0 Å³/atom
Electronic total energy ... -4.97 eV per atom
Energy of formation from the pure elements ... -27 meV/atom
Symmetry ... F-43m (216)



First-principles (GGA-PBE) data for a relaxed structure of NbNi2Au, as listed in the Alexandria database.

a = 4.317 Å, b = 4.317 Å, c = 4.317 Å
α = 60.00°, β = 60.00°, γ = 60.00°
Sites, in units of the cell vectors:
Ni  0.250  0.250  0.250
Ni  0.750  0.750  0.750
Nb  0.000  0.000  0.000
Au  0.500  0.500  0.500

Calculated values
Energy relative to the lowest polymorph listed for this composition ... 0 meV per atom
Calculated volume ... 14.2 Å³/atom
Electronic total energy ... -6.36 eV per atom
Energy of formation from the pure elements ... -135 meV/atom
Symmetry ... Fm-3m (225)



First-principles (GGA-PBE) data for a relaxed structure of Zr2CrW, as listed in the Alexandria database.

a = 9.480 Å, b = 9.480 Å, c = 9.480 Å
α = 18.40°, β = 18.40°, γ = 18.40°
Last column: magnetic moment on the atom in μB.
Sites, in units of the cell vectors:
Cr  0.250  0.250  0.250  1.59
W  0.750  0.750  0.750  0.03
Zr  0.996  0.996  0.996  -0.08
Zr  0.504  0.504  0.504  -0.08

Calculated values
Energy relative to the lowest polymorph listed for this composition ... 390 meV per atom
Calculated volume ... 18.5 Å³/atom
Electronic total energy ... -9.41 eV per atom
Energy of formation from the pure elements ... 511 meV/atom
Symmetry ... R-3m (166)



First-principles (GGA-PBE) data for a relaxed structure of ZrSb2Ir, as listed in the Alexandria database.

a = 5.838 Å, b = 5.838 Å, c = 4.041 Å
α = 89.97°, β = 89.97°, γ = 39.50°
Sites, in units of the cell vectors:
Ir  0.281  0.281  0.125
Sb  0.036  0.036  0.125
Sb  0.732  0.732  0.625
Zr  0.451  0.451  0.625

Calculated values
Energy relative to the lowest polymorph listed for this composition ... 0 meV per atom
Calculated volume ... 21.9 Å³/atom
Electronic total energy ... -6.78 eV per atom
Symmetry ... Amm2 (38)
Raw formation energy ... -0.3668 eV per atom



First-principles (GGA-PBE) data for a relaxed structure of LaNiCl, as listed in the Alexandria database.

a = 4.149 Å, b = 4.149 Å, c = 10.911 Å
α = 79.04°, β = 79.04°, γ = 60.00°
Sites, in units of the cell vectors:
La  0.440  0.440  0.680
La  0.560  0.560  0.320
Ni  0.160  0.160  0.521
Ni  0.840  0.840  0.479
Cl  0.719  0.719  0.844
Cl  0.281  0.281  0.156

Calculated values
Calculated volume ... 26.4 Å³/atom
Electronic total energy ... -5.45 eV per atom
Symmetry ... R-3m (166)
Raw formation energy ... -1.2669 eV per atom



First-principles (GGA-PBE) data for a relaxed structure of TiSn2Sb, as listed in the Alexandria database.

a = 6.554 Å, b = 6.554 Å, c = 8.013 Å
α = 65.86°, β = 65.86°, γ = 90.00°
Sites, in units of the cell vectors:
Sb  0.000  0.000  0.000
Sb  0.750  0.250  0.500
Sn  0.604  0.125  0.250
Sn  0.146  0.625  0.250
Sn  0.375  0.396  0.750
Sn  0.875  0.854  0.750
Ti  0.500  0.500  0.000
Ti  0.250  0.750  0.500

Calculated values
Calculated volume ... 35.1 Å³/atom
Electronic total energy ... -4.57 eV per atom
Symmetry ... I-42d (122)
Raw formation energy ... 0.4368 eV per atom



First-principles (GGA-PBE) data for a relaxed structure of Ba12MgAg5, as listed in the Alexandria database.

a = 10.205 Å, b = 10.205 Å, c = 10.205 Å
α = 104.62°, β = 113.84°, γ = 110.08°
Sites, in units of the cell vectors:
Ba  0.545  0.823  0.723
Ba  0.455  0.177  0.277
Ba  0.900  0.177  0.723
Ba  0.100  0.823  0.277
Ba  0.693  0.670  0.363
Ba  0.307  0.330  0.637
Ba  0.307  0.670  0.977
Ba  0.693  0.330  0.023
Ba  0.811  0.575  0.764
Ba  0.189  0.425  0.236
Ba  0.189  0.953  0.764
Ba  0.811  0.047  0.236
Mg  0.000  0.500  0.500
Ag  0.654  0.654  0.000
Ag  0.346  0.346  0.000
Ag  0.500  0.117  0.617
Ag  0.500  0.883  0.383
Ag  0.000  0.000  0.000

Calculated values
Calculated volume ... 45.2 Å³/atom
Electronic total energy ... -2.31 eV per atom
Energy of formation from the pure elements ... -144 meV/atom
Symmetry ... Immm (71)



First-principles (GGA-PBE) data for a relaxed structure of Zr2Zn3Ag, as listed in the Alexandria database.

a = 3.156 Å, b = 4.742 Å, c = 8.052 Å
α = 107.13°, β = 101.30°, γ = 90.00°
Sites, in units of the cell vectors:
Zr  0.157  0.157  0.314
Zr  0.846  0.346  0.692
Zn  0.687  0.687  0.375
Zn  0.527  0.527  0.054
Zn  0.308  0.808  0.616
Ag  0.475  0.975  0.949

Calculated values
Calculated volume ... 18.8 Å³/atom
Electronic total energy ... -4.03 eV per atom
Energy of formation from the pure elements ... -66 meV/atom
Symmetry ... Imm2 (44)



First-principles (GGA-PBE) data for a relaxed structure of Ba2Pb3, as listed in the Alexandria database.

a = 7.555 Å, b = 7.555 Å, c = 7.555 Å
α = 44.86°, β = 44.86°, γ = 44.86°
Sites, in units of the cell vectors:
Ba  0.401  0.401  0.401
Ba  0.599  0.599  0.599
Pb  0.000  0.000  0.000
Pb  0.828  0.828  0.828
Pb  0.172  0.172  0.172

Calculated values
Calculated volume ... 39.1 Å³/atom
Electronic total energy ... -3.39 eV per atom
Energy of formation from the pure elements ... -400 meV/atom
Symmetry ... R-3m (166)



First-principles (GGA-PBE) data for a relaxed structure of P2BrO2, as listed in the Alexandria database.

a = 3.675 Å, b = 3.675 Å, c = 6.393 Å
α = 90.00°, β = 90.00°, γ = 90.00°
Last column: magnetic moment on the atom in μB.
Sites, in units of the cell vectors:
P  0.500  0.500  0.500  0.06
P  0.000  0.000  0.500  -0.02
O  0.000  0.500  0.000  0.00
O  0.500  0.000  0.000  0.00
Br  0.000  0.000  0.000  -0.01

Calculated values
Energy relative to the lowest polymorph listed for this composition ... 1181 meV per atom
Calculated volume ... 17.3 Å³/atom
Electronic total energy ... -3.60 eV per atom
Symmetry ... P4/mmm (123)
Raw formation energy ... 0.8846 eV per atom



First-principles (GGA-PBE) data for a relaxed structure of BeNCl2, as listed in the Alexandria database.

a = 6.304 Å, b = 6.304 Å, c = 6.210 Å
α = 59.49°, β = 59.49°, γ = 90.00°
Last column: magnetic moment on the atom in μB.
Sites, in units of the cell vectors:
Be  0.500  0.500  0.000  0.00
Be  0.250  0.750  0.500  0.00
N  0.000  0.000  0.000  1.92
N  0.750  0.250  0.500  1.92
Cl  0.495  0.125  0.250  0.04
Cl  0.255  0.625  0.250  0.04
Cl  0.375  0.505  0.750  0.04
Cl  0.875  0.745  0.750  0.04

Calculated values
Energy relative to the lowest polymorph listed for this composition ... 0 meV per atom
Calculated volume ... 21.5 Å³/atom
Electronic total energy ... -3.62 eV per atom
Symmetry ... I-42d (122)
Raw formation energy ... 0.3168 eV per atom



First-principles (GGA-PBE) data for a relaxed structure of Tl3In6Hg2, as listed in the Alexandria database.

a = 3.804 Å, b = 3.804 Å, c = 25.131 Å
α = 85.66°, β = 85.66°, γ = 60.00°
Sites, in units of the cell vectors:
Tl  0.000  0.000  0.000
Tl  0.270  0.270  0.191
Tl  0.730  0.730  0.809
In  0.095  0.095  0.714
In  0.905  0.905  0.286
In  0.182  0.182  0.455
In  0.818  0.818  0.545
In  0.365  0.365  0.905
In  0.635  0.635  0.095
Hg  0.457  0.457  0.630
Hg  0.543  0.543  0.370

Calculated values
Calculated volume ... 28.5 Å³/atom
Electronic total energy ... -2.15 eV per atom
Energy of formation from the pure elements ... 41 meV/atom
Symmetry ... R-3m (166)



First-principles (GGA-PBE) data for a relaxed structure of Ac3Ni3Ge, as listed in the Alexandria database.

a = 4.157 Å, b = 6.289 Å, c = 14.289 Å
α = 85.23°, β = 81.64°, γ = 70.70°
Sites, in units of the cell vectors:
Ac  0.531  0.322  0.617
Ac  0.469  0.678  0.383
Ac  0.263  0.251  0.223
Ac  0.737  0.749  0.777
Ac  0.403  0.272  0.922
Ac  0.597  0.728  0.078
Ni  0.800  0.871  0.530
Ni  0.200  0.129  0.470
Ni  0.094  0.885  0.926
Ni  0.906  0.115  0.074
Ni  0.951  0.864  0.235
Ni  0.049  0.136  0.765
Ge  0.747  0.117  0.388
Ge  0.253  0.883  0.612

Calculated values
Energy relative to the lowest polymorph listed for this composition ... 0 meV per atom
Calculated volume ... 24.9 Å³/atom
Electronic total energy ... -5.28 eV per atom
Energy of formation from the pure elements ... -381 meV/atom
Symmetry ... C2/m (12)



First-principles (GGA-PBE) data for a relaxed structure of GaSiHg2, as listed in the Alexandria database.

a = 4.669 Å, b = 4.669 Å, c = 9.129 Å
α = 75.18°, β = 75.18°, γ = 90.00°
Sites, in units of the cell vectors:
Si  0.500  0.500  0.000
Si  0.250  0.750  0.500
Hg  0.612  0.125  0.250
Hg  0.138  0.625  0.250
Hg  0.375  0.388  0.750
Hg  0.875  0.862  0.750
Ga  0.000  0.000  0.000
Ga  0.750  0.250  0.500

Calculated values
Calculated volume ... 23.2 Å³/atom
Electronic total energy ... -1.90 eV per atom
Symmetry ... I-42d (122)
Raw formation energy ... 0.3584 eV per atom



First-principles (GGA-PBE) data for a relaxed structure of Rb2PaBiS4, as listed in the Alexandria database.

a = 7.183 Å, b = 7.183 Å, c = 7.183 Å
α = 106.87°, β = 110.79°, γ = 110.79°
Last column: magnetic moment on the atom in μB.
Sites, in units of the cell vectors:
Rb  0.500  0.750  0.250  0.00
Rb  0.000  0.000  0.000  0.00
Pa  0.500  0.250  0.750  -0.26
Bi  0.000  0.500  0.500  0.08
S  0.541  0.262  0.414  0.01
S  0.152  0.279  0.738  0.01
S  0.848  0.586  0.127  0.01
S  0.459  0.873  0.721  0.01

Calculated values
Calculated volume ... 35.6 Å³/atom
Electronic total energy ... -4.96 eV per atom
Symmetry ... I-4 (82)
Raw formation energy ... -0.9785 eV per atom



First-principles (GGA-PBE) data for a relaxed structure of KGa6O8, as listed in the Alexandria database.

a = 6.811 Å, b = 6.811 Å, c = 6.811 Å
α = 60.00°, β = 60.00°, γ = 60.00°
Sites, in units of the cell vectors:
K  0.000  0.000  0.000
Ga  0.000  0.500  0.000
Ga  0.000  0.000  0.500
Ga  0.000  0.500  0.500
Ga  0.500  0.000  0.500
Ga  0.500  0.500  0.000
Ga  0.500  0.000  0.000
O  0.552  0.149  0.149
O  0.851  0.851  0.448
O  0.149  0.149  0.552
O  0.851  0.851  0.851
O  0.149  0.552  0.149
O  0.149  0.149  0.149
O  0.851  0.448  0.851
O  0.448  0.851  0.851

Calculated values
Calculated volume ... 14.9 Å³/atom
Electronic total energy ... -5.07 eV per atom
Symmetry ... Fm-3m (225)
Raw formation energy ... -1.1455 eV per atom



First-principles (GGA-PBE) data for a relaxed structure of CsCaPbCl2, as listed in the Alexandria database.

a = 6.086 Å, b = 6.585 Å, c = 6.086 Å
α = 90.00°, β = 90.00°, γ = 90.00°
Last column: magnetic moment on the atom in μB.
Sites, in units of the cell vectors:
Pb  0.000  0.500  0.000  0.44
Cs  0.000  0.000  0.000  0.02
Ca  0.500  0.500  0.500  0.04
Cl  0.000  0.000  0.500  0.03
Cl  0.500  0.000  0.000  0.03

Calculated values
Calculated volume ... 48.8 Å³/atom
Electronic total energy ... -2.42 eV per atom
Symmetry ... P4/mmm (123)
Raw formation energy ... -0.3663 eV per atom



First-principles (GGA-PBE) data for a relaxed structure of Pm6Y12Tm, as listed in the Alexandria database.

a = 9.990 Å, b = 9.990 Å, c = 9.990 Å
α = 112.68°, β = 112.68°, γ = 112.68°
Sites, in units of the cell vectors:
Pm  0.677  0.368  0.677
Pm  0.677  0.677  0.368
Pm  0.368  0.677  0.677
Pm  0.323  0.323  0.632
Pm  0.323  0.632  0.323
Pm  0.632  0.323  0.323
Y  0.885  0.115  0.500
Y  0.237  0.916  0.237
Y  0.237  0.237  0.916
Y  0.084  0.763  0.763
Y  0.763  0.763  0.084
Y  0.763  0.084  0.763
Y  0.500  0.885  0.115
Y  0.115  0.500  0.885
Y  0.115  0.885  0.500
Y  0.500  0.115  0.885
Y  0.885  0.500  0.115
Y  0.916  0.237  0.237
Tm  0.000  0.000  0.000

Calculated values
Energy relative to the lowest polymorph listed for this composition ... 231 meV per atom
Calculated volume ... 34.8 Å³/atom
Electronic total energy ... -5.47 eV per atom
Energy of formation from the pure elements ... 349 meV/atom
Symmetry ... R-3m (166)



First-principles (GGA-PBE) data for a relaxed structure of Np2GaAu, as listed in the Alexandria database.

a = 3.943 Å, b = 3.943 Å, c = 5.627 Å
α = 90.00°, β = 90.00°, γ = 90.00°
Last column: magnetic moment on the atom in μB.
Sites, in units of the cell vectors:
Np  0.000  0.000  0.757  4.16
Np  0.000  0.000  0.243  4.16
Au  0.500  0.500  0.500  0.06
Ga  0.500  0.500  0.000  -0.02

Calculated values
Calculated volume ... 21.9 Å³/atom
Electronic total energy ... -8.08 eV per atom
Energy of formation from the pure elements ... -29 meV/atom
Symmetry ... P4/mmm (123)